No. 1
{"formula": "Pm5Sm3Ho", "functional": "PBE", "state": "optimized geometry", "energy_ev_per_cell": -76.2, "formation_enthalpy_0k_ev_per_atom": 0.485, "total_magnetization_mub_per_fu": 0.0, "lattice_angstrom": [[-3.269, 4.995, 7.595], [-9.606, 0.218, -0.998], [-8.138, -3.391, 7.887]], "species": ["Pm", "Pm", "Pm", "Pm", "Pm", "Pm", "Pm", "Pm", "Pm", "Pm", "Ho", "Ho", "Sm", "Sm", "Sm", "Sm", "Sm", "Sm"], "fractional_positions": [[0.336, 0.841, 0.262], [0.159, 0.664, 0.738], [0.841, 0.336, 0.262], [0.747, 0.253, 0.000], [0.822, 0.822, 0.952], [0.496, 0.496, 0.231], [0.504, 0.504, 0.769], [0.253, 0.747, 0.000], [0.178, 0.178, 0.048], [0.664, 0.159, 0.738], [0.843, 0.843, 0.406], [0.157, 0.157, 0.594], [0.663, 0.663, 0.352], [0.000, 0.000, 0.500], [0.687, 0.687, 0.819], [0.313, 0.313, 0.181], [0.000, 0.000, 0.000], [0.337, 0.337, 0.648]]}

No. 2
{"formula": "Pm3Sm5Ho3", "functional": "PBE", "state": "optimized geometry", "energy_ev_per_cell": -47.9, "formation_enthalpy_0k_ev_per_atom": 0.330, "total_magnetization_mub_per_fu": 0.0, "lattice_angstrom": [[-0.524, -0.116, -3.417], [-6.470, -9.169, 1.303], [-4.647, 10.291, 0.365]], "species": ["Pm", "Pm", "Pm", "Sm", "Sm", "Sm", "Sm", "Sm", "Ho", "Ho", "Ho"], "fractional_positions": [[0.000, 0.597, 0.000], [0.000, 0.000, 0.597], [0.000, 0.403, 0.403], [0.500, 0.333, 0.667], [0.500, 0.000, 0.338], [0.500, 0.662, 0.662], [0.500, 0.667, 0.333], [0.500, 0.338, 0.000], [0.500, 0.841, 0.000], [0.500, 0.000, 0.841], [0.500, 0.159, 0.159]]}

No. 3
{"formula": "PmSm3Ho8", "functional": "PBE", "state": "optimized geometry", "energy_ev_per_cell": -47.8, "formation_enthalpy_0k_ev_per_atom": 0.640, "total_magnetization_mub_per_fu": 0.0, "lattice_angstrom": [[7.542, -0.452, -3.560], [-4.400, 6.994, -1.216], [-0.284, 0.452, 8.335]], "species": ["Ho", "Ho", "Ho", "Ho", "Ho", "Ho", "Ho", "Ho", "Sm", "Sm", "Sm", "Pm"], "fractional_positions": [[0.000, 0.876, 0.624], [0.251, 0.376, 0.376], [0.000, 0.250, 0.750], [0.749, 0.124, 0.124], [0.000, 0.624, 0.876], [0.500, 0.750, 0.750], [0.000, 0.750, 0.250], [0.500, 0.250, 0.250], [0.500, 0.750, 0.250], [0.000, 0.500, 0.500], [0.500, 0.250, 0.750], [0.000, 0.000, 0.000]]}

No. 4
{"formula": "Pm2Sm8Ho3", "functional": "PBE", "state": "optimized geometry", "energy_ev_per_cell": -58.2, "formation_enthalpy_0k_ev_per_atom": 0.215, "total_magnetization_mub_per_fu": 0.0, "lattice_angstrom": [[5.607, 0.000, 0.780], [0.000, 7.689, 0.000], [-1.421, -3.844, 10.204]], "species": ["Sm", "Sm", "Sm", "Sm", "Sm", "Sm", "Sm", "Sm", "Ho", "Ho", "Ho", "Pm", "Pm"], "fractional_positions": [[0.500, 0.812, 0.209], [0.500, 0.602, 0.791], [0.000, 0.668, 0.336], [0.500, 0.398, 0.209], [0.000, 0.332, 0.664], [0.500, 0.188, 0.791], [0.000, 0.130, 0.260], [0.000, 0.870, 0.740], [0.000, 0.286, 0.000], [0.000, 0.714, 0.000], [0.500, 0.000, 0.000], [0.500, 0.760, 0.519], [0.500, 0.240, 0.481]]}

Repeat the fourth record exactly.
{"formula": "Pm2Sm8Ho3", "functional": "PBE", "state": "optimized geometry", "energy_ev_per_cell": -58.2, "formation_enthalpy_0k_ev_per_atom": 0.215, "total_magnetization_mub_per_fu": 0.0, "lattice_angstrom": [[5.607, 0.000, 0.780], [0.000, 7.689, 0.000], [-1.421, -3.844, 10.204]], "species": ["Sm", "Sm", "Sm", "Sm", "Sm", "Sm", "Sm", "Sm", "Ho", "Ho", "Ho", "Pm", "Pm"], "fractional_positions": [[0.500, 0.812, 0.209], [0.500, 0.602, 0.791], [0.000, 0.668, 0.336], [0.500, 0.398, 0.209], [0.000, 0.332, 0.664], [0.500, 0.188, 0.791], [0.000, 0.130, 0.260], [0.000, 0.870, 0.740], [0.000, 0.286, 0.000], [0.000, 0.714, 0.000], [0.500, 0.000, 0.000], [0.500, 0.760, 0.519], [0.500, 0.240, 0.481]]}